BaSeS | PBE | relaxed

VASP energy in Ha/atom: -0.1663
ρ in g/cm3: 4.33
Space-group type: P2_1/m

a b c (Å): 4.4066 4.4251 10.0108
angles (deg): 102.70 90.00 90.00
Last column: nearest neighbours and their distance in Å.
Element x y z (fractional)
Se: 0.9209 0.0385 0.9449  1 S 2.30
S: 0.4208 0.2936 0.4495  1 Se 2.30
Ba: 0.9208 0.7475 0.3574  5 S 3.25-3.43, 4 Se 3.42-3.43
Se: 0.4208 0.1753 0.2135  1 S 2.30
Ba: 0.4209 0.4664 0.8011  5 S 3.25-3.43, 4 Se 3.42-3.43
S: 0.9209 0.9203 0.7089  1 Se 2.30